First-principles (GGA-PBE) data for an optimized crystal structure of AgSb2BrN, as listed in Alexandria.

abc: 5.558 4.983 5.558
angles: 90.00 90.00 90.00
Fractional coordinates of all 5 atoms:
1 Sb 0.000 0.000 0.500
2 Sb 0.500 0.000 0.000
3 Br 0.000 0.000 0.000
4 Ag 0.000 0.500 0.000
5 N 0.500 0.500 0.500

Summary:
Calculated density in g cm⁻³: 4.8
Density of states at the Fermi level in states/eV per cell: 4.4
Raw formation energy in meV/atom: 2023
Crystal system: tetragonal